## one
Ge2PN | PBE | relaxed

Geometry as CIF:
```
data_Ge2PN
_symmetry_space_group_name_H-M 'P 1'
_symmetry_Int_Tables_number 1
_cell_length_a 4.3143
_cell_length_b 4.3143
_cell_length_c 4.3143
_cell_angle_alpha 60.00
_cell_angle_beta 60.00
_cell_angle_gamma 60.00
loop_
_symmetry_equiv_pos_as_xyz
'x,y,z'
loop_
_atom_site_label
_atom_site_fract_x
_atom_site_fract_y
_atom_site_fract_z
Ge1 0.2500 0.2500 0.2500
Ge2 0.7500 0.7500 0.7500
P1 0.0000 0.0000 0.0000
N1 0.5000 0.5000 0.5000
```


## two
Ge2PN | PBE | relaxed

Geometry as CIF:
```
data_Ge2PN
_symmetry_space_group_name_H-M 'P 1'
_symmetry_Int_Tables_number 1
_cell_length_a 5.7572
_cell_length_b 5.7572
_cell_length_c 5.7572
_cell_angle_alpha 121.36
_cell_angle_beta 121.36
_cell_angle_gamma 87.66
loop_
_symmetry_equiv_pos_as_xyz
'x,y,z'
loop_
_atom_site_label
_atom_site_fract_x
_atom_site_fract_y
_atom_site_fract_z
Ge1 0.0728 0.6250 0.9478
Ge2 0.3750 0.3228 0.4478
Ge3 0.6772 0.1250 0.0522
Ge4 0.8750 0.9272 0.5522
P1 0.2500 0.7500 0.5000
P2 0.5000 0.5000 0.0000
N1 0.0000 0.0000 0.0000
N2 0.7500 0.2500 0.5000
```


Least stable: one


## one
GePSN | PBE | relaxed

Geometry as CIF:
```
data_GePSN
_symmetry_space_group_name_H-M 'P 1'
_symmetry_Int_Tables_number 1
_cell_length_a 3.0787
_cell_length_b 3.0787
_cell_length_c 8.2074
_cell_angle_alpha 99.92
_cell_angle_beta 99.92
_cell_angle_gamma 60.20
loop_
_symmetry_equiv_pos_as_xyz
'x,y,z'
loop_
_atom_site_label
_atom_site_fract_x
_atom_site_fract_y
_atom_site_fract_z
Ge1 0.0000 0.0000 0.0000
P1 0.5709 0.5709 0.7114
S1 0.8484 0.8484 0.5289
N1 0.3606 0.3606 0.0874
```


## two
GePSN | PBE | relaxed

Geometry as CIF:
```
data_GePSN
_symmetry_space_group_name_H-M 'P 1'
_symmetry_Int_Tables_number 1
_cell_length_a 4.7835
_cell_length_b 4.7835
_cell_length_c 7.1726
_cell_angle_alpha 121.61
_cell_angle_beta 121.61
_cell_angle_gamma 32.73
loop_
_symmetry_equiv_pos_as_xyz
'x,y,z'
loop_
_atom_site_label
_atom_site_fract_x
_atom_site_fract_y
_atom_site_fract_z
Ge1 0.0000 0.0000 0.0000
P1 0.1054 0.1054 0.7346
S1 0.9357 0.9357 0.3812
N1 0.7367 0.7367 0.8025
```


Least stable: one


## one
GePSN | PBE | relaxed

Geometry as CIF:
```
data_GePSN
_symmetry_space_group_name_H-M 'P 1'
_symmetry_Int_Tables_number 1
_cell_length_a 3.5175
_cell_length_b 4.6327
_cell_length_c 4.9208
_cell_angle_alpha 95.56
_cell_angle_beta 108.64
_cell_angle_gamma 91.30
loop_
_symmetry_equiv_pos_as_xyz
'x,y,z'
loop_
_atom_site_label
_atom_site_fract_x
_atom_site_fract_y
_atom_site_fract_z
Ge1 0.0000 0.0000 0.0000
P1 0.9237 0.3217 0.5724
S1 0.4769 0.6580 0.9845
N1 0.1591 0.1479 0.3941
```


## two
GePSN | PBE | relaxed

Geometry as CIF:
```
data_GePSN
_symmetry_space_group_name_H-M 'P 1'
_symmetry_Int_Tables_number 1
_cell_length_a 3.9090
_cell_length_b 4.7650
_cell_length_c 5.1651
_cell_angle_alpha 93.32
_cell_angle_beta 110.02
_cell_angle_gamma 113.52
loop_
_symmetry_equiv_pos_as_xyz
'x,y,z'
loop_
_atom_site_label
_atom_site_fract_x
_atom_site_fract_y
_atom_site_fract_z
Ge1 0.0000 0.0000 0.0000
P1 0.5417 0.2449 0.8275
S1 0.5302 0.0855 0.4332
N1 0.6357 0.5949 0.9213
```


Least stable: one


## one
GePSN | PBE | relaxed

Geometry as CIF:
```
data_GePSN
_symmetry_space_group_name_H-M 'P 1'
_symmetry_Int_Tables_number 1
_cell_length_a 5.0780
_cell_length_b 3.0855
_cell_length_c 5.6299
_cell_angle_alpha 90.00
_cell_angle_beta 94.57
_cell_angle_gamma 90.00
loop_
_symmetry_equiv_pos_as_xyz
'x,y,z'
loop_
_atom_site_label
_atom_site_fract_x
_atom_site_fract_y
_atom_site_fract_z
Ge1 0.0000 0.0000 0.0000
P1 0.2879 0.5000 0.5858
S1 0.5916 0.0000 0.6053
N1 0.1575 0.5000 0.8490
```


## two
GePSN | PBE | relaxed

Geometry as CIF:
```
data_GePSN
_symmetry_space_group_name_H-M 'P 1'
_symmetry_Int_Tables_number 1
_cell_length_a 3.4065
_cell_length_b 3.8138
_cell_length_c 5.8090
_cell_angle_alpha 103.31
_cell_angle_beta 100.13
_cell_angle_gamma 108.78
loop_
_symmetry_equiv_pos_as_xyz
'x,y,z'
loop_
_atom_site_label
_atom_site_fract_x
_atom_site_fract_y
_atom_site_fract_z
Ge1 0.0000 0.0000 0.0000
P1 0.0688 0.4283 0.7507
S1 0.5654 0.0010 0.4519
N1 0.6161 0.1384 0.1964
```


Least stable: two


## one
GePSN | PBE | relaxed

Geometry as CIF:
```
data_GePSN
_symmetry_space_group_name_H-M 'P 1'
_symmetry_Int_Tables_number 1
_cell_length_a 3.3163
_cell_length_b 3.3163
_cell_length_c 7.9998
_cell_angle_alpha 105.23
_cell_angle_beta 105.23
_cell_angle_gamma 56.98
loop_
_symmetry_equiv_pos_as_xyz
'x,y,z'
loop_
_atom_site_label
_atom_site_fract_x
_atom_site_fract_y
_atom_site_fract_z
Ge1 0.0000 0.0000 0.0000
P1 0.1257 0.1257 0.7322
S1 0.4656 0.4656 0.5555
N1 0.7034 0.7034 0.0781
```


## two
GePSN | PBE | relaxed

Geometry as CIF:
```
data_GePSN
_symmetry_space_group_name_H-M 'P 1'
_symmetry_Int_Tables_number 1
_cell_length_a 3.0811
_cell_length_b 3.3090
_cell_length_c 8.0184
_cell_angle_alpha 79.91
_cell_angle_beta 89.94
_cell_angle_gamma 62.25
loop_
_symmetry_equiv_pos_as_xyz
'x,y,z'
loop_
_atom_site_label
_atom_site_fract_x
_atom_site_fract_y
_atom_site_fract_z
Ge1 0.0000 0.0000 0.0000
P1 0.2984 0.4007 0.2951
S1 0.7397 0.5171 0.4702
N1 0.3129 0.3746 0.9186
```


## three
GePSN | PBE | relaxed

Geometry as CIF:
```
data_GePSN
_symmetry_space_group_name_H-M 'P 1'
_symmetry_Int_Tables_number 1
_cell_length_a 3.6277
_cell_length_b 4.9154
_cell_length_c 4.9158
_cell_angle_alpha 114.82
_cell_angle_beta 92.76
_cell_angle_gamma 94.89
loop_
_symmetry_equiv_pos_as_xyz
'x,y,z'
loop_
_atom_site_label
_atom_site_fract_x
_atom_site_fract_y
_atom_site_fract_z
Ge1 0.0000 0.0000 0.0000
P1 0.6259 0.7620 0.3708
S1 0.5336 0.3289 0.9627
N1 0.9507 0.7345 0.5824
```


## four
GePSN | PBE | relaxed

Geometry as CIF:
```
data_GePSN
_symmetry_space_group_name_H-M 'P 1'
_symmetry_Int_Tables_number 1
_cell_length_a 5.7239
_cell_length_b 5.7239
_cell_length_c 5.9809
_cell_angle_alpha 111.35
_cell_angle_beta 111.35
_cell_angle_gamma 27.27
loop_
_symmetry_equiv_pos_as_xyz
'x,y,z'
loop_
_atom_site_label
_atom_site_fract_x
_atom_site_fract_y
_atom_site_fract_z
Ge1 0.0000 0.0000 0.0000
P1 0.2519 0.2519 0.5743
S1 0.1946 0.1946 0.9134
N1 0.8515 0.8515 0.6619
```


Least stable: two


## one
GePSN | PBE | relaxed

Geometry as CIF:
```
data_GePSN
_symmetry_space_group_name_H-M 'P 1'
_symmetry_Int_Tables_number 1
_cell_length_a 3.0948
_cell_length_b 4.6663
_cell_length_c 6.9536
_cell_angle_alpha 91.42
_cell_angle_beta 101.80
_cell_angle_gamma 109.36
loop_
_symmetry_equiv_pos_as_xyz
'x,y,z'
loop_
_atom_site_label
_atom_site_fract_x
_atom_site_fract_y
_atom_site_fract_z
Ge1 0.0000 0.0000 0.0000
P1 0.3784 0.5210 0.2563
S1 0.0184 0.6015 0.4738
N1 0.4532 0.8023 0.1131
```


## two
GePSN | PBE | relaxed

Geometry as CIF:
```
data_GePSN
_symmetry_space_group_name_H-M 'P 1'
_symmetry_Int_Tables_number 1
_cell_length_a 2.7040
_cell_length_b 5.7250
_cell_length_c 6.0379
_cell_angle_alpha 113.63
_cell_angle_beta 102.93
_cell_angle_gamma 90.63
loop_
_symmetry_equiv_pos_as_xyz
'x,y,z'
loop_
_atom_site_label
_atom_site_fract_x
_atom_site_fract_y
_atom_site_fract_z
Ge1 0.0000 0.0000 0.0000
P1 0.7704 0.4207 0.5221
S1 0.9524 0.3807 0.8885
N1 0.1889 0.2443 0.3671
```


## three
GePSN | PBE | relaxed

Geometry as CIF:
```
data_GePSN
_symmetry_space_group_name_H-M 'P 1'
_symmetry_Int_Tables_number 1
_cell_length_a 6.4716
_cell_length_b 6.4716
_cell_length_c 5.0011
_cell_angle_alpha 105.38
_cell_angle_beta 105.38
_cell_angle_gamma 27.60
loop_
_symmetry_equiv_pos_as_xyz
'x,y,z'
loop_
_atom_site_label
_atom_site_fract_x
_atom_site_fract_y
_atom_site_fract_z
Ge1 0.0000 0.0000 0.0000
P1 0.6921 0.6921 0.4585
S1 0.1833 0.1833 0.7597
N1 0.5686 0.5686 0.2223
```


Least stable: two


## one
GePS2N | PBE | relaxed

Geometry as CIF:
```
data_GePS2N
_symmetry_space_group_name_H-M 'P 1'
_symmetry_Int_Tables_number 1
_cell_length_a 4.8503
_cell_length_b 4.8503
_cell_length_c 3.5210
_cell_angle_alpha 90.00
_cell_angle_beta 90.00
_cell_angle_gamma 90.00
loop_
_symmetry_equiv_pos_as_xyz
'x,y,z'
loop_
_atom_site_label
_atom_site_fract_x
_atom_site_fract_y
_atom_site_fract_z
Ge1 0.0000 0.0000 0.0000
P1 0.5000 0.5000 0.5000
S1 0.0000 0.5000 0.0000
S2 0.5000 0.0000 0.0000
N1 0.0000 0.0000 0.5000
```


## two
GePS2N | PBE | relaxed

Geometry as CIF:
```
data_GePS2N
_symmetry_space_group_name_H-M 'P 1'
_symmetry_Int_Tables_number 1
_cell_length_a 4.4543
_cell_length_b 4.4543
_cell_length_c 3.8257
_cell_angle_alpha 90.00
_cell_angle_beta 90.00
_cell_angle_gamma 90.00
loop_
_symmetry_equiv_pos_as_xyz
'x,y,z'
loop_
_atom_site_label
_atom_site_fract_x
_atom_site_fract_y
_atom_site_fract_z
Ge1 0.0000 0.0000 0.0000
P1 0.5000 0.5000 0.0000
S1 0.0000 0.5000 0.5000
S2 0.5000 0.0000 0.5000
N1 0.5000 0.5000 0.5000
```


Least stable: one


## one
GePS2N | PBE | relaxed

Geometry as CIF:
```
data_GePS2N
_symmetry_space_group_name_H-M 'P 1'
_symmetry_Int_Tables_number 1
_cell_length_a 4.7364
_cell_length_b 4.7364
_cell_length_c 3.3222
_cell_angle_alpha 90.00
_cell_angle_beta 90.00
_cell_angle_gamma 90.00
loop_
_symmetry_equiv_pos_as_xyz
'x,y,z'
loop_
_atom_site_label
_atom_site_fract_x
_atom_site_fract_y
_atom_site_fract_z
Ge1 0.0000 0.0000 0.0000
P1 0.5000 0.5000 0.5000
S1 0.0000 0.5000 0.5000
S2 0.5000 0.0000 0.5000
N1 0.5000 0.5000 0.0000
```


## two
GePS2N | PBE | relaxed

Geometry as CIF:
```
data_GePS2N
_symmetry_space_group_name_H-M 'P 1'
_symmetry_Int_Tables_number 1
_cell_length_a 4.7014
_cell_length_b 4.7014
_cell_length_c 4.9415
_cell_angle_alpha 90.00
_cell_angle_beta 90.00
_cell_angle_gamma 90.00
loop_
_symmetry_equiv_pos_as_xyz
'x,y,z'
loop_
_atom_site_label
_atom_site_fract_x
_atom_site_fract_y
_atom_site_fract_z
Ge1 0.0000 0.0000 0.0000
P1 0.0000 0.0000 0.5000
S1 0.0000 0.5000 0.0000
S2 0.5000 0.0000 0.0000
N1 0.5000 0.5000 0.5000
```


Least stable: two


## one
GeP2SN | PBE | relaxed

Geometry as CIF:
```
data_GeP2SN
_symmetry_space_group_name_H-M 'P 1'
_symmetry_Int_Tables_number 1
_cell_length_a 4.7885
_cell_length_b 4.7885
_cell_length_c 4.7217
_cell_angle_alpha 90.00
_cell_angle_beta 90.00
_cell_angle_gamma 90.00
loop_
_symmetry_equiv_pos_as_xyz
'x,y,z'
loop_
_atom_site_label
_atom_site_fract_x
_atom_site_fract_y
_atom_site_fract_z
Ge1 0.0000 0.0000 0.0000
P1 0.0000 0.5000 0.0000
P2 0.5000 0.0000 0.0000
S1 0.0000 0.0000 0.5000
N1 0.5000 0.5000 0.5000
```


## two
GeP2SN | PBE | relaxed

Geometry as CIF:
```
data_GeP2SN
_symmetry_space_group_name_H-M 'P 1'
_symmetry_Int_Tables_number 1
_cell_length_a 4.0929
_cell_length_b 4.0929
_cell_length_c 4.3568
_cell_angle_alpha 90.00
_cell_angle_beta 90.00
_cell_angle_gamma 90.00
loop_
_symmetry_equiv_pos_as_xyz
'x,y,z'
loop_
_atom_site_label
_atom_site_fract_x
_atom_site_fract_y
_atom_site_fract_z
Ge1 0.0000 0.0000 0.0000
P1 0.0000 0.5000 0.5000
P2 0.5000 0.0000 0.5000
S1 0.5000 0.5000 0.0000
N1 0.5000 0.5000 0.5000
```


Least stable: one


## one
GeTePN2 | PBE | relaxed

Geometry as CIF:
```
data_GeTePN2
_symmetry_space_group_name_H-M 'P 1'
_symmetry_Int_Tables_number 1
_cell_length_a 3.6964
_cell_length_b 3.6964
_cell_length_c 8.0793
_cell_angle_alpha 90.00
_cell_angle_beta 90.00
_cell_angle_gamma 90.00
loop_
_symmetry_equiv_pos_as_xyz
'x,y,z'
loop_
_atom_site_label
_atom_site_fract_x
_atom_site_fract_y
_atom_site_fract_z
Ge1 0.0000 0.0000 0.0000
Te1 0.0000 0.0000 0.5000
P1 0.5000 0.5000 0.5000
N1 0.0000 0.5000 0.0000
N2 0.5000 0.0000 0.0000
```


## two
GeTePN2 | PBE | relaxed

Geometry as CIF:
```
data_GeTePN2
_symmetry_space_group_name_H-M 'P 1'
_symmetry_Int_Tables_number 1
_cell_length_a 3.7542
_cell_length_b 3.7542
_cell_length_c 5.2816
_cell_angle_alpha 90.00
_cell_angle_beta 90.00
_cell_angle_gamma 90.00
loop_
_symmetry_equiv_pos_as_xyz
'x,y,z'
loop_
_atom_site_label
_atom_site_fract_x
_atom_site_fract_y
_atom_site_fract_z
Ge1 0.0000 0.0000 0.0000
Te1 0.5000 0.5000 0.0000
P1 0.5000 0.5000 0.5000
N1 0.0000 0.5000 0.5000
N2 0.5000 0.0000 0.5000
```


Least stable: one


## one
Ge3PbN | PBE | relaxed

Geometry as CIF:
```
data_Ge3PbN
_symmetry_space_group_name_H-M 'P 1'
_symmetry_Int_Tables_number 1
_cell_length_a 5.4106
_cell_length_b 5.4106
_cell_length_c 5.4106
_cell_angle_alpha 90.00
_cell_angle_beta 90.00
_cell_angle_gamma 90.00
loop_
_symmetry_equiv_pos_as_xyz
'x,y,z'
loop_
_atom_site_label
_atom_site_fract_x
_atom_site_fract_y
_atom_site_fract_z
Ge1 0.0000 0.0000 0.5000
Ge2 0.0000 0.5000 0.0000
Ge3 0.5000 0.0000 0.0000
Pb1 0.0000 0.0000 0.0000
N1 0.5000 0.5000 0.5000
```


## two
Ge3PbN | PBE | relaxed

Geometry as CIF:
```
data_Ge3PbN
_symmetry_space_group_name_H-M 'P 1'
_symmetry_Int_Tables_number 1
_cell_length_a 4.5766
_cell_length_b 4.5766
_cell_length_c 4.5766
_cell_angle_alpha 90.00
_cell_angle_beta 90.00
_cell_angle_gamma 90.00
loop_
_symmetry_equiv_pos_as_xyz
'x,y,z'
loop_
_atom_site_label
_atom_site_fract_x
_atom_site_fract_y
_atom_site_fract_z
Ge1 0.0000 0.0000 0.5000
Ge2 0.0000 0.5000 0.0000
Ge3 0.5000 0.0000 0.0000
Pb1 0.5000 0.5000 0.5000
N1 0.0000 0.0000 0.0000
```


Least stable: one


## one
GePbSeN2 | PBE | relaxed

Geometry as CIF:
```
data_GePbSeN2
_symmetry_space_group_name_H-M 'P 1'
_symmetry_Int_Tables_number 1
_cell_length_a 4.3473
_cell_length_b 4.3473
_cell_length_c 5.7674
_cell_angle_alpha 90.00
_cell_angle_beta 90.00
_cell_angle_gamma 90.00
loop_
_symmetry_equiv_pos_as_xyz
'x,y,z'
loop_
_atom_site_label
_atom_site_fract_x
_atom_site_fract_y
_atom_site_fract_z
Ge1 0.0000 0.0000 0.0000
Pb1 0.5000 0.5000 0.5000
Se1 0.5000 0.5000 0.0000
N1 0.0000 0.5000 0.5000
N2 0.5000 0.0000 0.5000
```


## two
GePbSeN2 | PBE | relaxed

Geometry as CIF:
```
data_GePbSeN2
_symmetry_space_group_name_H-M 'P 1'
_symmetry_Int_Tables_number 1
_cell_length_a 4.2675
_cell_length_b 4.2675
_cell_length_c 5.7464
_cell_angle_alpha 90.00
_cell_angle_beta 90.00
_cell_angle_gamma 90.00
loop_
_symmetry_equiv_pos_as_xyz
'x,y,z'
loop_
_atom_site_label
_atom_site_fract_x
_atom_site_fract_y
_atom_site_fract_z
Ge1 0.0000 0.0000 0.0000
Pb1 0.5000 0.5000 0.5000
Se1 0.0000 0.0000 0.5000
N1 0.0000 0.5000 0.0000
N2 0.5000 0.0000 0.0000
```


Least stable: one